# 1
Entry from Alexandria: a relaxed structure of Rb2MnCu2Te4 (PBE).

Cell lengths 4.046, 9.203, 10.539 Å; angles 108.87, 78.88, 131.25 degrees
Last column: magnetic moment on the atom in μB.
Fractional coordinates of all 9 atoms:
Rb 0.363 0.687 0.336  0.00
Rb 0.637 0.313 0.664  0.00
Mn 0.000 0.000 0.000  3.64
Cu 0.578 0.115 0.188  -0.01
Cu 0.422 0.885 0.812  -0.01
Te 0.100 0.743 0.029  -0.06
Te 0.835 0.776 0.659  -0.03
Te 0.900 0.257 0.971  -0.06
Te 0.165 0.224 0.341  -0.03

Values from the calculation:
* calculated total energy: -36.07 eV for the cell shown
* formation energy without anion corrections: -467.2 meV/atom

---

# 2
Entry from Alexandria: a relaxed structure of IrRu2W (PBE).

Cell lengths 2.751, 2.751, 7.736 Å; angles 90.00, 90.00, 90.00 degrees
Fractional coordinates of all 4 atoms:
Ir 0.500 0.500 0.750
Ru 0.000 0.000 0.997
Ru 0.000 0.000 0.503
W 0.500 0.500 0.250

Values from the calculation:
* polymorph energy (0 for the lowest one): 209 meV per atom
* calculated total energy: -40.25 eV for the cell shown

---

# 3
Entry from Alexandria: a relaxed structure of K2CdAuBr6 (PBE).

Cell lengths 8.419, 7.886, 8.353 Å; angles 55.84, 52.43, 56.12 degrees
Fractional coordinates of all 10 atoms:
K 0.584 0.571 0.313
K 0.049 0.062 0.790
Cd 0.816 0.816 0.552
Au 0.316 0.316 0.052
Br 0.603 0.135 0.329
Br 0.134 0.024 0.355
Br 0.010 0.599 0.243
Br 0.499 0.608 0.748
Br 0.622 0.033 0.860
Br 0.029 0.498 0.774

Values from the calculation:
* calculated total energy: -26.01 eV for the cell shown
* formation energy without anion corrections: -958.3 meV/atom

---

# 4
Entry from Alexandria: a relaxed structure of Tb2CdSn3 (PBE).

Cell lengths 5.825, 8.090, 8.090 Å; angles 113.26, 90.00, 90.00 degrees
Fractional coordinates of all 12 atoms:
Tb 0.750 0.451 0.165
Tb 0.250 0.549 0.835
Tb 0.250 0.835 0.549
Tb 0.750 0.165 0.451
Cd 0.750 0.909 0.909
Cd 0.250 0.091 0.091
Sn 0.250 0.413 0.413
Sn 0.750 0.587 0.587
Sn 0.500 0.191 0.809
Sn 0.000 0.191 0.809
Sn 0.500 0.809 0.191
Sn 0.000 0.809 0.191

Values from the calculation:
* calculated total energy: -47.47 eV for the cell shown

---

# 5
Entry from Alexandria: a relaxed structure of Al5Fe6Mo (PBE).

Cell lengths 4.087, 5.765, 7.060 Å; angles 114.10, 106.82, 90.00 degrees
Last column: magnetic moment on the atom in μB.
Fractional coordinates of all 12 atoms:
Mo 0.000 0.000 0.000  -0.10
Al 0.667 0.167 0.333  -0.01
Al 0.333 0.333 0.666  -0.01
Al 0.000 0.500 0.000  -0.01
Al 0.667 0.667 0.334  -0.01
Al 0.333 0.833 0.667  -0.01
Fe 0.833 0.583 0.667  0.41
Fe 0.833 0.084 0.667  0.41
Fe 0.500 0.748 0.000  0.10
Fe 0.500 0.252 0.000  0.10
Fe 0.167 0.916 0.333  0.41
Fe 0.167 0.417 0.333  0.41

Values from the calculation:
* calculated total energy: -84.11 eV for the cell shown

---

# 6
Entry from Alexandria: a relaxed structure of Sr2CdIn2 (PBE).

Cell lengths 4.987, 6.587, 11.051 Å; angles 87.59, 76.96, 67.76 degrees
Fractional coordinates of all 10 atoms:
Sr 0.680 0.307 0.334
Sr 0.919 0.270 0.893
Sr 0.320 0.693 0.666
Sr 0.081 0.730 0.107
Cd 0.625 0.097 0.653
Cd 0.375 0.903 0.347
In 0.078 0.282 0.562
In 0.636 0.843 0.886
In 0.922 0.718 0.438
In 0.364 0.157 0.114

Values from the calculation:
* polymorph energy (0 for the lowest one): 0 meV per atom
* calculated total energy: -23.57 eV for the cell shown

---

# 7
Entry from Alexandria: a relaxed structure of KRb2GeN (PBE).

Cell lengths 6.743, 4.369, 6.743 Å; angles 90.00, 90.00, 90.00 degrees
Last column: magnetic moment on the atom in μB.
Fractional coordinates of all 5 atoms:
Ge 0.500 0.500 0.500  0.51
K 0.000 0.000 0.000  0.00
Rb 0.000 0.000 0.500  0.01
Rb 0.500 0.000 0.000  0.02
N 0.000 0.500 0.000  0.23

Values from the calculation:
* calculated total energy: -10.86 eV for the cell shown
* formation energy without anion corrections: 1023.1 meV/atom

---

# 8
Entry from Alexandria: a relaxed structure of La3MgMn2N6 (PBE).

Cell lengths 5.713, 5.713, 6.549 Å; angles 90.00, 90.00, 120.00 degrees
Last column: magnetic moment on the atom in μB.
Fractional coordinates of all 12 atoms:
La 0.333 0.667 0.665  0.05
La 0.667 0.333 0.335  0.05
La 0.000 0.000 0.000  0.08
Mg 0.000 0.000 0.500  0.00
Mn 0.667 0.333 0.789  1.27
Mn 0.333 0.667 0.211  1.27
N 0.662 0.831 0.293  0.00
N 0.169 0.338 0.293  0.00
N 0.169 0.831 0.293  0.00
N 0.831 0.662 0.707  0.00
N 0.338 0.169 0.707  0.00
N 0.831 0.169 0.707  0.00

Values from the calculation:
* calculated total energy: -94.84 eV for the cell shown
* formation energy without anion corrections: -847.5 meV/atom